Record 1
KLa2Pt after structural relaxation, computed with PBE-GGA.

Results
electronic total energy = -16.928 eV per cell
ΔH_f (0 K) = 0.0163 eV per atom
SG = No. 119

POSCAR file:
```
KLa2Pt
1.0
6.628 0.009 0.000
3.608 5.560 0.000
-5.118 -2.784 3.160
La K Pt
2 1 1
Cartesian
0.000 0.000 0.000 La
1.804 2.780 1.580 La
3.314 0.004 1.580 K
5.118 2.784 0.000 Pt
```

Record 2
KLa2Pt after structural relaxation, computed with PBE-GGA.

Results
electronic total energy = -19.115 eV per cell
ΔH_f (0 K) = -0.5305 eV per atom
SG = No. 166

POSCAR file:
```
KLa2Pt
1.0
-4.188 5.076 8.826
-0.533 3.400 10.458
-0.426 7.182 8.334
Pt La K
1 2 1
Cartesian
-3.860 11.743 20.714 Pt
-2.387 7.262 12.810 La
-0.186 0.567 0.999 La
-1.287 3.914 6.905 K
```

The following distance to the lowest polymorph of the same formula values (in kcal/mol of atoms) correspond, in order, to the records above: 12.61, 0.00.